# 1
7
Lattice="5.929 -1.771 0.000 5.929 1.771 0.000 -3.742 0.000 11.298" Properties=species:S:1:pos:R:3 comment="LaPm2Dy2Y2 | the Alexandria database | GGA-PBE | relaxed" e_form_kj_per_mol_fu=62 magnetic_moment_mub_per_atom=0.00 volume_a3_per_cell=237.2 pbc="T T T"
La 0.000 0.000 0.000
Pm 2.329 0.000 4.697
Pm 5.786 0.000 6.601
Dy -0.554 0.000 9.725
Dy 8.669 0.000 1.572
Y 2.618 0.000 8.192
Y 5.497 0.000 3.105

---

# 2
4
Lattice="0.000 3.482 3.482 3.482 0.000 3.482 3.482 3.482 0.000" Properties=species:S:1:pos:R:3 comment="YLuCuGe | the Alexandria database | GGA-PBE | relaxed" e_form_kj_per_mol_fu=-191 magnetic_moment_mub_per_atom=0.00 volume_a3_per_cell=84.4 pbc="T T T"
Y 0.000 0.000 0.000
Lu 3.482 3.482 3.482
Cu 1.741 1.741 1.741
Ge 5.223 5.223 5.223

---

# 3
13
Lattice="6.333 -3.296 0.000 6.333 3.296 0.000 -1.689 0.000 5.545" Properties=species:S:1:pos:R:3 comment="Hf8As2N3 | the Alexandria database | GGA-PBE | relaxed" magnetic_moment_mub_per_atom=0.00 volume_a3_per_cell=231.5 e_tot_ev_per_cell=-125.93 pbc="T T T"
Hf 0.572 0.000 2.134
Hf 4.882 1.646 0.564
Hf 6.095 1.646 4.981
Hf 4.095 0.000 3.182
Hf 6.882 0.000 2.364
Hf 4.882 -1.646 0.564
Hf 6.095 -1.646 4.981
Hf 10.406 0.000 3.411
As 1.812 0.000 4.485
As 9.165 0.000 1.060
N 0.000 0.000 0.000
N 5.489 1.747 2.773
N 5.489 -1.747 2.773